VASP calculation (PBE-GGA) on a relaxed HfZrCuIr crystal.

Geometry as extended XYZ:
```
4
Lattice="0.000 3.274 3.274 3.274 0.000 3.274 3.274 3.274 0.000" Properties=species:S:1:pos:R:3 pbc="T T T"
Hf 0.000 0.000 0.000
Zr 3.274 3.274 3.274
Cu 4.911 4.911 4.911
Ir 1.637 1.637 1.637
```

Calculated values
Theoretical density ... 12.4 Mg/m³
Formation enthalpy at 0 K ... -538 meV/atom
Polymorph energy (0 for the lowest one) ... 0.000 eV per atom
Magnetic moment ... 0.00 μB/cell

***

VASP calculation (PBE-GGA) on a relaxed HfZrCuIr crystal.

Geometry as extended XYZ:
```
4
Lattice="0.000 3.215 3.215 3.215 0.000 3.215 3.215 3.215 0.000" Properties=species:S:1:pos:R:3 pbc="T T T"
Hf 0.000 0.000 0.000
Zr 1.607 1.607 1.607
Cu 3.215 3.215 3.215
Ir 4.822 4.822 4.822
```

Calculated values
Theoretical density ... 13.1 Mg/m³
Formation enthalpy at 0 K ... -318 meV/atom
Polymorph energy (0 for the lowest one) ... 0.220 eV per atom
Magnetic moment ... 0.00 μB/cell